Computed, not measured: ZrMn3O after structural relaxation at the GGA+U level of DFT.

Cell: 5.214 5.214 5.214 Å, 90.00 90.00 90.00°
Element x y z (fractional)
Zr 0.000 0.000 0.000
Mn 0.000 0.000 0.500
Mn 0.000 0.500 0.000
Mn 0.500 0.000 0.000
O 0.500 0.500 0.500

Computed properties:
The energy relative to the lowest polymorph listed for this composition is 1.946 eV/atom. Its calculated total energy is -5.30 eV/atom. The value obtained for the density of states at the Fermi level is 1.39 states/eV/atom. As for the space-group type: Pm-3m (221).